[1]
VASP calculation (PBE) on a relaxed structure of Si2MoSe.

Geometry as POSCAR:
```
Si2MoSe
1.0
-1.8569 1.2451 2.1663
1.0432 -2.0664 2.0819
5.3263 4.6158 1.9126
Mo Se Si
1 1 2
Direct
0.0000 0.0000 0.4655
0.5000 0.5000 0.6748
0.0000 0.0000 0.0912
0.5000 0.5000 0.2684
```

- final energy (eV/atom) = -6.26


[2]
VASP calculation (PBE) on a relaxed structure of SiMoSe.

Geometry as POSCAR:
```
SiMoSe
1.0
-0.4310 -0.3706 3.1664
-2.5123 -0.1989 -1.9995
0.8568 -5.5109 -0.5284
Mo Se Si
1 1 1
Direct
0.0000 0.0000 0.9980
0.6667 0.3333 0.3118
0.3333 0.6667 0.6902
```

- energy above the lowest structure with this stoichiometry (meV per atom) = 260
- final energy (eV/atom) = -6.64


[3]
VASP calculation (PBE) on a relaxed structure of SiMoSe3.

Geometry as POSCAR:
```
SiMoSe3
1.0
-4.4864 1.5450 0.6730
0.4065 -0.8652 4.6961
1.6354 4.4533 0.6789
Mo Si Se
1 1 3
Direct
0.5000 0.5000 0.5000
0.0000 0.0000 0.0000
0.0000 0.5000 0.0000
0.0000 0.0000 0.5000
0.5000 0.0000 0.0000
```

- energy above the lowest structure with this stoichiometry (meV per atom) = 222
- final energy (eV/atom) = -4.58


[4]
VASP calculation (PBE) on a relaxed structure of SiMo2Se.

Geometry as POSCAR:
```
SiMo2Se
1.0
2.8057 -0.0117 0.0000
-0.9434 2.6424 0.0000
0.0000 0.0000 9.2524
Mo Se Si
2 1 1
Direct
0.0000 0.0000 0.0050
0.5000 0.5000 0.2409
0.0000 0.0000 0.4671
0.5000 0.5000 0.7870
```

- energy above the lowest structure with this stoichiometry (meV per atom) = 374
- final energy (eV/atom) = -7.39


[5]
VASP calculation (PBE) on a relaxed structure of SiMoSe.

Geometry as POSCAR:
```
SiMoSe
1.0
7.3983 0.0187 -0.0142
6.6759 2.7576 -0.0225
0.7224 -0.7372 2.6378
Mo Se Si
1 1 1
Direct
0.0004 0.0004 0.9996
0.3564 0.3564 0.6436
0.6432 0.6432 0.3568
```

- energy above the lowest structure with this stoichiometry (meV per atom) = 649
- final energy (eV/atom) = -6.25


[6]
VASP calculation (PBE) on a relaxed structure of SiMoSe.

Geometry as POSCAR:
```
SiMoSe
1.0
-2.0482 -3.4619 1.5891
-1.6036 -2.9861 -2.6866
1.8446 -3.9044 -0.2427
Mo Se Si
1 1 1
Direct
0.7500 0.7500 0.7500
0.0000 0.0000 0.0000
0.5000 0.5000 0.5000
```

- energy above the lowest structure with this stoichiometry (meV per atom) = 706
- final energy (eV/atom) = -6.20


[7]
VASP calculation (PBE) on a relaxed structure of Si2MoSe.

Geometry as POSCAR:
```
Si2MoSe
1.0
2.7170 -0.0041 0.0000
-0.4527 2.6790 0.0000
0.0000 0.0000 9.4956
Mo Se Si
1 1 2
Direct
0.5000 0.5000 0.2500
0.5000 0.5000 0.7500
0.0000 0.0000 0.0442
0.0000 0.0000 0.4558
```

- final energy (eV/atom) = -5.98


[8]
VASP calculation (PBE) on a relaxed structure of SiMo2Se.

Geometry as POSCAR:
```
SiMo2Se
1.0
4.9096 0.0014 -0.0013
1.3735 4.7136 0.0013
-2.5762 -3.1110 2.7910
Mo Se Si
2 1 1
Direct
0.0372 0.0372 0.0000
0.4628 0.4628 0.0000
0.7500 0.2500 0.5000
0.2500 0.7500 0.5000
```

- energy above the lowest structure with this stoichiometry (meV per atom) = 416
- final energy (eV/atom) = -7.35


[9]
VASP calculation (PBE) on a relaxed structure of SiMo4Se.

Geometry as POSCAR:
```
SiMo4Se
1.0
-0.2499 -3.8379 3.5476
1.9000 0.7608 4.8155
-3.2665 0.4056 4.0674
Si Mo Se
1 4 1
Direct
0.0000 0.0000 0.0000
0.8709 0.3764 0.3764
0.3764 0.3764 0.8709
0.3764 0.8709 0.3764
0.3764 0.3764 0.3764
0.7500 0.7500 0.7500
```

- final energy (eV/atom) = -8.11


[10]
VASP calculation (PBE) on a relaxed structure of TiSi2MoSe.

Geometry as POSCAR:
```
TiSi2MoSe
1.0
4.7005 0.0000 0.0000
0.0000 4.5283 0.0000
0.0000 0.0000 4.7005
Mo Si Se Ti
1 2 1 1
Direct
0.5000 0.5000 0.5000
0.0000 0.0000 0.5000
0.5000 0.0000 0.0000
0.0000 0.0000 0.0000
0.0000 0.5000 0.0000
```

- final energy (eV/atom) = -5.43


[11]
VASP calculation (PBE) on a relaxed structure of SmMo6Se8.

Geometry as POSCAR:
```
SmMo6Se8
1.0
6.7963 0.0074 0.0073
0.1206 6.7953 0.0073
0.1206 0.1186 6.7942
Sm Mo Se
1 6 8
Direct
0.0000 0.0000 0.0000
0.7653 0.5762 0.4401
0.4401 0.7653 0.5762
0.5762 0.4401 0.7653
0.2347 0.4238 0.5599
0.5599 0.2347 0.4238
0.4238 0.5599 0.2347
0.7604 0.7604 0.7604
0.2396 0.2396 0.2396
0.2445 0.6275 0.8778
0.8778 0.2445 0.6275
0.6275 0.8778 0.2445
0.7555 0.3725 0.1222
0.1222 0.7555 0.3725
0.3725 0.1222 0.7555
```

- final energy (eV/atom) = -7.23


[12]
VASP calculation (PBE) on a relaxed structure of Sm6MoSe12.

Geometry as POSCAR:
```
Sm6MoSe12
1.0
8.2046 0.0045 0.0053
-1.2394 8.1104 0.0053
-1.2394 -1.4440 7.9808
Sm Mo Se
6 1 12
Direct
0.6897 0.8637 0.3603
0.6397 0.3103 0.1363
0.1363 0.6397 0.3103
0.3103 0.1363 0.6397
0.3603 0.6897 0.8637
0.8637 0.3603 0.6897
0.0000 0.0000 0.0000
0.8208 0.5714 0.4241
0.4241 0.8208 0.5714
0.5714 0.4241 0.8208
0.1792 0.4286 0.5759
0.5759 0.1792 0.4286
0.4286 0.5759 0.1792
0.0627 0.9846 0.3124
0.0154 0.6876 0.9373
0.6876 0.9373 0.0154
0.9373 0.0154 0.6876
0.9846 0.3124 0.0627
0.3124 0.0627 0.9846
```

- final energy (eV/atom) = -5.70


[13]
VASP calculation (PBE) on a relaxed structure of Sn2Mo15Se19.

Geometry as POSCAR:
```
Sn2Mo15Se19
1.0
9.7350 0.0000 0.0000
4.8675 8.4307 0.0000
4.8675 2.8102 19.7009
Sn Mo Se
4 30 38
Direct
0.8697 0.8697 0.3908
0.3697 0.3697 0.8908
0.1303 0.1303 0.6092
0.6303 0.6303 0.1092
0.8129 0.1280 0.0580
0.1280 0.0011 0.0580
0.0011 0.8129 0.0580
0.6280 0.3129 0.5580
0.3129 0.5011 0.5580
0.5011 0.6280 0.5580
0.1871 0.8720 0.9420
0.8720 0.9989 0.9420
0.9989 0.1871 0.9420
0.3720 0.6871 0.4420
0.6871 0.4989 0.4420
0.4989 0.3720 0.4420
0.6360 0.9518 0.6354
0.9518 0.7769 0.6354
0.7769 0.6360 0.6354
0.4518 0.1360 0.1354
0.1360 0.2769 0.1354
0.2769 0.4518 0.1354
0.3640 0.0482 0.3646
0.0482 0.2231 0.3646
0.2231 0.3640 0.3646
0.5482 0.8640 0.8646
0.8640 0.7231 0.8646
0.7231 0.5482 0.8646
0.5890 0.7500 0.7500
0.7500 0.9110 0.7500
0.9110 0.5890 0.7500
0.2500 0.0890 0.2500
0.0890 0.4110 0.2500
0.4110 0.2500 0.2500
0.9401 0.3128 0.0507
0.3128 0.6964 0.0507
0.6964 0.9401 0.0507
0.8128 0.4401 0.5507
0.4401 0.1964 0.5507
0.1964 0.8128 0.5507
0.0599 0.6872 0.9493
0.6872 0.3036 0.9493
0.3036 0.0599 0.9493
0.1872 0.5599 0.4493
0.5599 0.8036 0.4493
0.8036 0.1872 0.4493
0.4557 0.8188 0.6437
0.8188 0.0818 0.6437
0.0818 0.4557 0.6437
0.3188 0.9557 0.1437
0.9557 0.5818 0.1437
0.5818 0.3188 0.1437
0.5443 0.1812 0.3563
0.1812 0.9182 0.3563
0.9182 0.5443 0.3563
0.6812 0.0443 0.8563
0.0443 0.4182 0.8563
0.4182 0.6812 0.8563
0.0587 0.7500 0.7500
0.7500 0.4413 0.7500
0.4413 0.0587 0.7500
0.2500 0.5587 0.2500
0.5587 0.9413 0.2500
0.9413 0.2500 0.2500
0.9463 0.9463 0.1611
0.4463 0.4463 0.6611
0.0537 0.0537 0.8389
0.5537 0.5537 0.3389
0.8224 0.8224 0.5329
0.3224 0.3224 0.0329
0.1776 0.1776 0.4671
0.6776 0.6776 0.9671
```

- final energy (eV/atom) = -7.06


[14]
VASP calculation (PBE) on a relaxed structure of SnMo3Se.

Geometry as POSCAR:
```
SnMo3Se
1.0
4.9448 0.0000 0.0000
0.0000 4.9448 0.0000
0.0000 0.0000 4.9448
Mo Sn Se
3 1 1
Direct
0.0000 0.5000 0.0000
0.0000 0.0000 0.5000
0.5000 0.0000 0.0000
0.0000 0.0000 0.0000
0.5000 0.5000 0.5000
```

- energy above the lowest structure with this stoichiometry (meV per atom) = 1339
- final energy (eV/atom) = -5.73


[15]
VASP calculation (PBE) on a relaxed structure of SnMo3Se.

Geometry as POSCAR:
```
SnMo3Se
1.0
-2.0246 1.3125 -3.9501
-0.5961 -4.4387 -1.1693
-4.1195 -0.0027 2.1106
Mo Sn Se
3 1 1
Direct
0.0000 0.5000 0.0000
0.0000 0.0000 0.5000
0.5000 0.0000 0.0000
0.5000 0.5000 0.5000
0.0000 0.0000 0.0000
```

- energy above the lowest structure with this stoichiometry (meV per atom) = 0
- final energy (eV/atom) = -7.07


[16]
VASP calculation (PBE) on a relaxed structure of Sn2MoSe2.

Geometry as POSCAR:
```
Sn2MoSe2
1.0
-2.7196 0.6311 2.7590
-2.6950 -1.7463 -2.2571
-0.8903 -7.8253 3.7044
Mo Sn Se
1 2 2
Direct
0.0000 0.0000 0.0000
0.7500 0.2500 0.5000
0.2500 0.7500 0.5000
0.4147 0.4147 0.1706
0.5853 0.5853 0.8294
```

- energy above the lowest structure with this stoichiometry (meV per atom) = 511
- final energy (eV/atom) = -4.53


[17]
VASP calculation (PBE) on a relaxed structure of Sn2MoSe.

Geometry as POSCAR:
```
Sn2MoSe
1.0
-5.9741 0.0319 2.4537
2.4115 -1.1204 5.8857
-1.3526 5.4527 5.1356
Mo Sn Se
2 4 2
Direct
0.0000 0.0000 0.0000
0.7500 0.2500 0.5000
0.6407 0.1250 0.2500
0.1093 0.6250 0.2500
0.3750 0.3593 0.7500
0.8750 0.8907 0.7500
0.5000 0.5000 0.0000
0.2500 0.7500 0.5000
```

- final energy (eV/atom) = -4.89


[18]
VASP calculation (PBE) on a relaxed structure of Sn2MoSe2.

Geometry as POSCAR:
```
Sn2MoSe2
1.0
-3.9940 4.7250 1.8510
-4.3255 -4.4017 1.9025
2.4368 -0.0580 5.4060
Mo Sn Se
2 4 4
Direct
0.0000 0.0000 0.0000
0.5000 0.5000 0.0000
0.2768 0.7768 0.5000
0.7768 0.7232 0.5000
0.7232 0.2232 0.5000
0.2232 0.2768 0.5000
0.3485 0.8485 0.0000
0.8485 0.6515 0.0000
0.6515 0.1515 0.0000
0.1515 0.3485 0.0000
```

- energy above the lowest structure with this stoichiometry (meV per atom) = 0
- final energy (eV/atom) = -5.04


[19]
VASP calculation (PBE) on a relaxed structure of SnMo4Se8.

Geometry as POSCAR:
```
SnMo4Se8
1.0
-1.1166 5.6364 3.3663
-2.4595 -0.7526 -6.1427
-5.1488 -6.6737 2.8791
Sn Mo Se
1 4 8
Direct
0.0000 0.5000 0.5000
0.0000 0.0000 0.0000
0.0000 0.5000 0.0000
0.5000 0.5000 0.0000
0.5000 0.0000 0.0000
0.4754 0.7377 0.2131
0.5246 0.2623 0.7869
0.4759 0.2379 0.2136
0.0243 0.2623 0.7864
0.5241 0.7621 0.7864
0.0243 0.7621 0.7864
0.9757 0.2379 0.2136
0.9757 0.7377 0.2136
```

- final energy (eV/atom) = -6.12


[20]
VASP calculation (PBE) on a relaxed structure of Ta2SnMoSe.

Geometry as POSCAR:
```
Ta2SnMoSe
1.0
4.6721 0.0000 0.0000
0.0000 5.2834 0.0000
0.0000 0.0000 4.6721
Mo Sn Se Ta
1 1 1 2
Direct
0.5000 0.5000 0.5000
0.0000 0.5000 0.0000
0.0000 0.0000 0.0000
0.0000 0.0000 0.5000
0.5000 0.0000 0.0000
```

- final energy (eV/atom) = -7.02


| no. | calculated volume (Å³ per cell) | E_form (uncorrected) (kJ/mol of formula units) | spin magnetization (μB per cell) |
| --- | --- | --- | --- |
| 1 | 71 | 13 | 0.0 |
| 2 | 50 | -18 | 0.0 |
| 3 | 110 | 366 | 3.1 |
| 4 | 68 | 96 | 0.0 |
| 5 | 53 | 95 | 0.0 |
| 6 | 57 | 111 | 1.4 |
| 7 | 69 | 120 | 0.0 |
| 8 | 65 | 112 | 0.0 |
| 9 | 101 | 343 | 0.0 |
| 10 | 100 | 568 | 1.7 |
| 11 | 314 | -1043 | 0.0 |
| 12 | 531 | -2631 | 0.2 |
| 13 | 1617 | -1686 | 0.0 |
| 14 | 121 | 1095 | 0.0 |
| 15 | 99 | 449 | 0.0 |
| 16 | 127 | 304 | 3.4 |
| 17 | 254 | 268 | 3.8 |
| 18 | 247 | 58 | 0.0 |
| 19 | 309 | -417 | 0.0 |
| 20 | 115 | 666 | 2.0 |